Computed, not measured: a geometry-optimized SrSbAs2S8 structure at the GGA-PBE level of DFT.

- Calculated density: 3.4 g/cm³
- Crystal system: trigonal
- E_form (uncorrected): -27 kJ/mol of atoms
- Fermi-level density of states: 0.44 states/eV per atom

Cell lengths 6.1990, 6.1990, 9.0233 Å; angles 90.00, 90.00, 120.00 degrees
Space group P-3 (No. 147)
Asymmetric unit:
Sr (0.0000, 0.0000, 0.0000) x1
Sb (0.0000, 0.0000, 0.5000) x1
As (0.3333, 0.6667, 0.7590) x2
S (0.0113, 0.6831, 0.3046) x6
S (0.3333, 0.6667, 0.9956) x2

=====

Computed, not measured: a geometry-optimized TlSb12Pd4 structure at the GGA-PBE level of DFT.

- Calculated density: 7.8 g/cm³
- Crystal system: cubic
- E_form (uncorrected): -23 kJ/mol of atoms
- Fermi-level density of states: 0.61 states/eV per atom

Cell lengths 9.612, 9.612, 9.612 Å; angles 90.00, 90.00, 90.00 degrees
Space group Im-3 (No. 204)
Asymmetric unit:
Tl (0.000, 0.000, 0.000) x2
Sb (0.000, 0.344, 0.155) x24
Pd (0.250, 0.250, 0.250) x8

=====

Computed, not measured: a geometry-optimized CaPdSe structure at the GGA-PBE level of DFT.

- Calculated density: 5.8 g/cm³
- Offset from the most stable computed form: 0.00 eV per formula unit
- Crystal system: hexagonal
- E_form (uncorrected): -112 kJ/mol of atoms
- Fermi-level density of states: 0.01 states/eV per atom

Cell lengths 4.3887, 4.3887, 7.7255 Å; angles 90.00, 90.00, 120.00 degrees
Space group P6_3/mmc (No. 194)
Asymmetric unit:
Ca (0.0000, 0.0000, 0.0000) x2
Pd (0.3333, 0.6667, 0.2500) x2
Se (0.3333, 0.6667, 0.7500) x2

=====

calculated density of number 1 (SrSbAs2S8)? 3.4 g/cm³